# 1
VASP calculation (PBE) on PrNd3Ho12 after structural relaxation.

a b c (Å): 5.0404 5.0404 20.1733
angles (deg): 90.00 90.00 90.00
Fractional positions:
Ho 0.5000 0.5000 0.5000
Ho 0.0000 0.5000 0.1255
Ho 0.5000 0.0000 0.1255
Ho 0.5000 0.5000 0.2503
Ho 0.0000 0.5000 0.6248
Ho 0.5000 0.0000 0.8745
Ho 0.5000 0.5000 0.0000
Ho 0.5000 0.5000 0.7497
Ho 0.5000 0.0000 0.6248
Ho 0.0000 0.5000 0.3752
Ho 0.5000 0.0000 0.3752
Ho 0.0000 0.5000 0.8745
Pr 0.0000 0.0000 0.0000
Nd 0.0000 0.0000 0.2503
Nd 0.0000 0.0000 0.7497
Nd 0.0000 0.0000 0.5000

## Properties
- symmetry = P4/mmm (123)
- final energy (eV/cell) = -73.66



# 2
VASP calculation (PBE) on PrNdHo6 after structural relaxation.

a b c (Å): 8.6062 9.6583 6.4676
angles (deg): 41.71 48.26 55.81
Fractional positions:
Nd 0.0000 0.0000 0.0000
Ho 0.7504 0.9544 0.7499
Ho 0.2496 0.0456 0.2501
Ho 0.5455 0.7503 0.6587
Ho 0.9549 0.4550 0.8396
Ho 0.0451 0.5450 0.1604
Ho 0.4545 0.2497 0.3413
Pr 0.5000 0.5000 0.5000

## Properties
- relative energy among the computed polymorphs (meV/atom) = 0.0
- symmetry = P-1 (2)
- final energy (eV/cell) = -35.83



# 3
VASP calculation (PBE) on Pr3Nd3Ho2 after structural relaxation.

a b c (Å): 6.3821 5.9047 14.7989
angles (deg): 90.00 90.00 90.08
Fractional positions:
Nd 0.1677 0.2502 0.8757
Nd 0.6616 0.2499 0.2500
Nd 0.1677 0.2502 0.6243
Nd 0.8323 0.7498 0.3757
Nd 0.8323 0.7498 0.1243
Nd 0.3384 0.7501 0.7500
Pr 0.6685 0.2500 0.9999
Pr 0.3315 0.7500 0.0001
Pr 0.3263 0.7498 0.2500
Pr 0.3315 0.7500 0.4999
Pr 0.6737 0.2502 0.7500
Pr 0.6685 0.2500 0.5001
Ho 0.8356 0.7501 0.6262
Ho 0.1644 0.2499 0.1262
Ho 0.8356 0.7501 0.8738
Ho 0.1644 0.2499 0.3738

## Properties
- relative energy among the computed polymorphs (meV/atom) = 0.0
- symmetry = P2_1/m (11)
- final energy (eV/cell) = -75.09



# 4
VASP calculation (PBE) on Pr5Nd12Ho after structural relaxation.

a b c (Å): 15.6305 11.0448 5.2085
angles (deg): 90.00 90.00 44.96
Fractional positions:
Nd 0.8344 0.6662 0.5000
Nd 0.3320 0.6684 0.0000
Nd 0.1656 0.0000 0.5000
Nd 0.3324 0.0000 0.0000
Nd 0.8344 0.0000 0.5000
Nd 0.6680 0.3316 0.0000
Nd 0.6676 0.0000 0.0000
Nd 0.9996 0.6684 0.0000
Nd 0.4995 0.6662 0.5000
Nd 0.1656 0.3339 0.5000
Nd 0.0004 0.3316 0.0000
Nd 0.5005 0.3339 0.5000
Pr 0.6671 0.6659 0.0000
Pr 0.1651 0.6699 0.5000
Pr 0.8350 0.3301 0.5000
Pr 0.5000 0.0000 0.5000
Pr 0.3329 0.3341 0.0000
Ho 0.0000 0.0000 0.0000

## Properties
- symmetry = Cmmm (65)
- final energy (eV/cell) = -85.46



# 5
VASP calculation (PBE) on Pr2Nd4Ho3 after structural relaxation.

a b c (Å): 3.6426 3.6426 27.1156
angles (deg): 90.00 90.00 120.00
Fractional positions:
Nd 0.0000 0.0000 0.5454
Nd 0.6667 0.3333 0.4322
Nd 0.0000 0.0000 0.7591
Nd 0.6667 0.3333 0.2205
Pr 0.6667 0.3333 0.8737
Pr 0.6667 0.3333 0.0871
Ho 0.0000 0.0000 0.9821
Ho 0.0000 0.0000 0.3247
Ho 0.6667 0.3333 0.6524

## Properties
- relative energy among the computed polymorphs (meV/atom) = 4.8
- symmetry = P3m1 (156)
- final energy (eV/cell) = -41.88



# 6
VASP calculation (PBE) on PrNd8Ho3 after structural relaxation.

a b c (Å): 6.3093 7.2911 12.0964
angles (deg): 90.05 110.29 54.60
Fractional positions:
Ho 0.9997 0.6224 0.7495
Ho 0.6645 0.2903 0.4146
Ho 0.0016 0.3719 0.2514
Nd 0.9987 0.1229 0.7484
Nd 0.3345 0.4552 0.0845
Nd 0.3312 0.2067 0.5813
Nd 0.3351 0.9548 0.0847
Nd 0.6666 0.7893 0.4163
Nd 0.6655 0.0396 0.9156
Nd 0.6673 0.5383 0.9171
Nd 0.0005 0.8724 0.2506
Pr 0.3331 0.7059 0.5826

## Properties
- symmetry = C2 (5)
- final energy (eV/cell) = -56.48



# 7
VASP calculation (PBE) on PrNd2Ho7 after structural relaxation.

a b c (Å): 6.1854 9.4533 9.4639
angles (deg): 141.87 70.91 102.62
Fractional positions:
Ho 0.4004 0.0004 0.1997
Ho 0.6984 0.5017 0.6014
Ho 0.3016 0.4983 0.3986
Ho 0.5996 0.9996 0.8003
Ho 0.8986 0.5007 0.2010
Ho 0.5000 0.5000 0.0000
Ho 0.1014 0.4993 0.7990
Nd 0.1999 0.0004 0.6013
Nd 0.8001 0.9996 0.3987
Pr 0.0000 0.0000 0.0000

## Properties
- relative energy among the computed polymorphs (meV/atom) = 0.0
- symmetry = P-1 (2)
- final energy (eV/cell) = -46.16



# 8
VASP calculation (PBE) on Pr2Nd4Ho5 after structural relaxation.

a b c (Å): 3.5372 9.2656 12.6299
angles (deg): 111.52 98.05 90.00
Fractional positions:
Nd 0.0000 0.7042 0.0000
Nd 0.4041 0.4041 0.8083
Nd 0.5959 0.5959 0.1917
Nd 0.0000 0.2958 0.0000
Ho 0.8571 0.0503 0.7142
Ho 0.5000 0.0000 0.0000
Ho 0.1429 0.9497 0.2858
Ho 0.8571 0.6639 0.7142
Ho 0.1429 0.3361 0.2858
Pr 0.2686 0.2686 0.5372
Pr 0.7314 0.7314 0.4628

## Properties
- relative energy among the computed polymorphs (meV/atom) = 146.8
- symmetry = Immm (71)
- final energy (eV/cell) = -48.81



Number 1: M_tot 0.0000 μB per atom, formation enthalpy at 0 K 22 meV/atom. Number 2: M_tot 0.0000 μB per atom, formation enthalpy at 0 K 147 meV/atom. Number 3: M_tot 0.0000 μB per atom, formation enthalpy at 0 K 32 meV/atom. Number 4: M_tot 0.0000 μB per atom, formation enthalpy at 0 K 13 meV/atom. Number 5: M_tot 0.0008 μB per atom, formation enthalpy at 0 K 54 meV/atom. Number 6: M_tot 0.0000 μB per atom, formation enthalpy at 0 K 15 meV/atom. Number 7: M_tot 0.0000 μB per atom, formation enthalpy at 0 K 20 meV/atom. Number 8: M_tot 0.0001 μB per atom, formation enthalpy at 0 K 246 meV/atom.